No. 1
Compound: VTcNi6
Source: Alexandria via LeMat-Bulk
Functional: PBE
Structure: relaxed

Lattice parameters (Å, degrees): 6.5390 6.5390 8.6350 90.00 90.00 120.00
Space group R-3m (No. 166, hexagonal axes)
Asymmetric unit:
V 0.0000 0.0000 0.0000
Tc 0.0000 0.0000 0.5000
Ni 0.0873 0.5437 0.8778

Calculated values
As for the density of states at the Fermi level: 0.991 states/eV/atom. Its formation energy from the elements is 0.513 eV/atom. The offset from the most stable computed form is 414 meV per atom. As for the total energy: -6.259 eV per atom.

---

No. 2
Compound: VTc2Ni2
Source: Alexandria via LeMat-Bulk
Functional: PBE
Structure: relaxed

Lattice parameters (Å, degrees): 6.145 6.145 3.485 90.00 90.00 90.00
Space group P4/mbm (No. 127)
Asymmetric unit:
V 0.000 0.000 0.000
Tc 0.165 0.335 0.500
Ni 0.131 0.631 0.000

Calculated values
As for the density of states at the Fermi level: 1.457 states/eV/atom. Its formation energy from the elements is 0.155 eV/atom. As for the total energy: -8.128 eV per atom.